(1)
# BeOs3Au

A relaxed BeOs3Au crystal (PBE, the Alexandria database).

## Properties
Volume ... 22.93 A^3/atom
Total magnetic moment ... 1.16 μB/atom
Calculated formation energy ... 3.28 eV/atom
Polymorph energy (0 for the lowest one) ... 224.3 kJ/mol of atoms
Final energy ... -4.859 eV per atom

Lattice parameters (Å, degrees): 4.8579 4.8579 4.8579 90.00 90.00 90.00
Fractional coordinates of all 5 atoms:
Os 0.5000 0.0000 0.0000
Os 0.0000 0.5000 0.0000
Os 0.0000 0.0000 0.5000
Au 0.0000 0.0000 0.0000
Be 0.5000 0.5000 0.5000

(2)
# SrMn2Sn

A relaxed SrMn2Sn crystal (PBE, the Alexandria database).

## Properties
Volume ... 29.78 A^3/atom
Total magnetic moment ... 1.88 μB/atom
Calculated formation energy ... 0.42 eV/atom
Final energy ... -5.581 eV per atom

Lattice parameters (Å, degrees): 5.0336 5.0336 10.0550 75.50 75.50 90.00
Fractional coordinates of all 8 atoms:
Sr 0.2500 0.7500 0.5000
Sr 0.5000 0.5000 0.0000
Mn 0.8751 0.6250 0.2500
Mn 0.8749 0.1250 0.2500
Mn 0.8750 0.1249 0.7500
Mn 0.3750 0.1251 0.7500
Sn 0.0000 0.0000 0.0000
Sn 0.7500 0.2500 0.5000

(3)
# Pa6Tc3Ni

A relaxed Pa6Tc3Ni crystal (PBE, the Alexandria database).

## Properties
Volume ... 22.39 A^3/atom
Total magnetic moment ... 0.00 μB/atom
Calculated formation energy ... -0.04 eV/atom
Final energy ... -9.430 eV per atom

Lattice parameters (Å, degrees): 6.8613 6.9830 9.3565 90.00 92.58 90.00
Fractional coordinates of all 20 atoms:
Pa 0.8359 0.6702 0.9122
Pa 0.6337 0.1494 0.9483
Pa 0.2817 0.5314 0.7451
Pa 0.1337 0.3506 0.4483
Pa 0.1641 0.3298 0.0878
Pa 0.8663 0.6494 0.5517
Pa 0.2183 0.0314 0.7549
Pa 0.3663 0.8506 0.0517
Pa 0.6641 0.1702 0.5878
Pa 0.3359 0.8298 0.4122
Pa 0.7183 0.4686 0.2549
Pa 0.7817 0.9686 0.2451
Ni 0.5000 0.5000 0.5000
Ni 0.0000 0.0000 0.0000
Tc 0.0000 0.0000 0.5000
Tc 0.0329 0.6768 0.2043
Tc 0.5000 0.5000 0.0000
Tc 0.4671 0.1768 0.2957
Tc 0.9671 0.3232 0.7957
Tc 0.5329 0.8232 0.7043

(4)
# TiReSCl2

A relaxed TiReSCl2 crystal (PBE, the Alexandria database).

## Properties
Volume ... 22.00 A^3/atom
Total magnetic moment ... 0.50 μB/atom
Polymorph energy (0 for the lowest one) ... 8.2 kJ/mol of atoms
Formation energy (no corrections) ... 438 meV per atom
Final energy ... -5.195 eV per atom

Lattice parameters (Å, degrees): 4.9703 4.9703 4.4522 90.00 90.00 90.00
Fractional coordinates of all 5 atoms:
S 0.0000 0.0000 0.5000
Re 0.0000 0.0000 0.0000
Cl 0.5000 0.0000 0.0000
Cl 0.0000 0.5000 0.0000
Ti 0.5000 0.5000 0.5000